Na6CdPd2 GGA-PBE optimized geometry; uncorrected energy = -20.0 eV for the cell shown; formation energy from the elements = -0.0836 eV/atom; theoretical density = 3.4 g cm⁻³
1.0
2.546 1.470 10.218
-2.546 1.470 10.218
0.000 -2.939 10.218
Na Cd Pd
6 1 2
Direct
0.075 0.075 0.075
0.208 0.208 0.208
0.312 0.312 0.312
0.688 0.688 0.688
0.792 0.792 0.792
0.925 0.925 0.925
0.500 0.500 0.500
0.412 0.412 0.412
0.588 0.588 0.588

NaCdPd2 GGA-PBE optimized geometry; uncorrected energy = -12.1 eV for the cell shown; formation energy from the elements = 0.1282 eV/atom; theoretical density = 7.5 g cm⁻³
1.0
-1.427 2.507 5.422
1.427 -2.507 5.422
1.427 2.507 -5.422
Na Cd Pd
1 1 2
Direct
0.000 0.000 0.000
0.500 0.500 0.000
0.257 0.257 0.000
0.743 0.743 0.000

NaCd10Pd2 GGA-PBE optimized geometry; uncorrected energy = -22.9 eV for the cell shown; formation energy from the elements = -0.1559 eV/atom; theoretical density = 7.9 g cm⁻³
1.0
0.000 7.034 7.067
2.870 0.000 7.067
2.870 7.034 0.000
Na Cd Pd
1 10 2
Direct
0.000 0.000 0.000
0.000 0.500 0.000
0.017 0.663 0.337
0.285 0.508 0.492
0.337 0.983 0.017
0.492 0.715 0.285
0.500 0.000 0.500
0.508 0.285 0.715
0.663 0.017 0.983
0.715 0.492 0.508
0.983 0.337 0.663
0.000 0.000 0.500
0.500 0.500 0.000

Na2Cd2Pd GGA-PBE optimized geometry; offset from the most stable computed form = 0 kJ/mol of formula units; uncorrected energy = -10.6 eV for the cell shown; formation energy from the elements = -0.1831 eV/atom; theoretical density = 5.8 g cm⁻³
1.0
4.158 -2.429 0.000
4.158 2.429 0.000
-2.670 0.000 5.318
Na Cd Pd
2 2 1
Direct
0.192 0.192 0.076
0.808 0.808 0.924
0.381 0.381 0.643
0.619 0.619 0.357
0.000 0.000 0.500